Here is a relaxed structure of Ac2Pm5Dy4 from Alexandria. Energies are from PBE-GGA.

- Formation enthalpy at 0 K: 0.169 eV per atom
- Total DFT energy (no corrections): -97.05 eV for the cell shown

Unit cell a=24.6934 b=3.5436 c=8.9670 alpha=90.00 beta=96.25 gamma=90.00
With the nearest neighbours (Å) after each atom.
Space group C2/m (No. 12)
Asymmetric unit:
Ac 0.0910 0.0000 0.2395 (multiplicity 4)  4 Dy 3.45-3.83, 4 Pm 3.54-3.84, 2 Ac 3.54
Pm 0.0000 0.5000 0.5000 (multiplicity 2)  2 Pm 3.54, 4 Dy 3.76, 4 Ac 3.84
Pm 0.1431 0.0000 0.6304 (multiplicity 4)  3 Dy 3.27-3.58, 4 Pm 3.50-3.54, 1 Ac 3.60
Pm 0.2342 0.0000 0.3246 (multiplicity 4)  7 Pm 3.50-3.73, 1 Ac 3.54, 3 Dy 3.61-3.74
Dy 0.0486 0.0000 0.8601 (multiplicity 4)  1 Pm 3.27, 2 Ac 3.45-3.47, 3 Dy 3.54-3.66
Dy 0.1789 0.5000 0.9736 (multiplicity 4)  6 Dy 3.54-3.92, 5 Pm 3.58-3.74, 2 Ac 3.83